Ac2PO | PBE | relaxed

abc: 4.0240 4.0240 21.6240
angles: 90.00 90.00 120.00
Last column: nearest neighbours and their distance in Å.
Fractional positions:
Ac (0.0000, 0.0000, 0.0000)  3 O 2.80, 3 P 2.99
Ac (0.0000, 0.0000, 0.1604)  3 P 2.98, 3 O 3.01
Ac (0.3333, 0.6667, 0.6667)  3 O 2.80, 3 P 2.99
Ac (0.3333, 0.6667, 0.8270)  3 P 2.98, 3 O 3.01
Ac (0.6667, 0.3333, 0.3333)  3 O 2.80, 3 P 2.99
Ac (0.6667, 0.3333, 0.4937)  3 P 2.98, 3 O 3.01
P (0.0000, 0.0000, 0.5797)  6 Ac 2.98-2.99
P (0.3333, 0.6667, 0.2463)  6 Ac 2.98-2.99
P (0.6667, 0.3333, 0.9130)  6 Ac 2.98-2.99
O (0.0000, 0.0000, 0.4054)  6 Ac 2.80-3.01
O (0.3333, 0.6667, 0.0721)  6 Ac 2.80-3.01
O (0.6667, 0.3333, 0.7388)  6 Ac 2.80-3.01

As for the energy relative to the elements, uncorrected: -1794 meV per atom. As for the magnetization: 0.0 μB per formula unit. For the density of states at the Fermi level, the calculation gives 0.647 states/eV per atom.